Density functional theory data (PBE-GGA) for a relaxed CePa2MnN5 crystal.

Magnetic moment: 0.395 μB per atom
VASP energy: -174.72 eV/cell
Raw formation energy: -1.293 eV/atom

The structure in extended XYZ format:
```
18
Lattice="6.564 0.000 0.000 0.000 6.564 0.000 0.000 0.000 5.618" Properties=species:S:1:pos:R:3 pbc="T T T"
Ce 0.000 0.000 0.000
Ce 3.282 3.282 0.000
Pa 1.128 2.153 2.809
Pa 2.153 5.435 2.809
Pa 4.410 1.128 2.809
Pa 5.435 4.410 2.809
Mn 0.000 3.282 0.000
Mn 3.282 0.000 0.000
N 0.000 0.000 2.809
N 0.971 4.253 1.342
N 0.971 4.253 4.276
N 2.311 0.971 1.342
N 2.311 0.971 4.276
N 3.282 3.282 2.809
N 4.253 5.593 1.342
N 4.253 5.593 4.276
N 5.593 2.311 1.342
N 5.593 2.311 4.276
```

Density functional theory data (PBE-GGA) for a relaxed Sm2BRuC crystal.

E_form: -0.19 eV per atom
Magnetic moment: 0.000 μB per atom
VASP energy: -71.17 eV/cell

The structure in extended XYZ format:
```
10
Lattice="3.840 0.000 0.000 0.000 3.840 0.000 0.000 0.000 12.393" Properties=species:S:1:pos:R:3 pbc="T T T"
Sm 0.960 0.960 1.192
Sm 0.960 0.960 8.575
Sm 2.880 2.880 3.818
Sm 2.880 2.880 11.202
B 0.960 0.960 5.214
B 2.880 2.880 7.179
Ru 0.960 2.880 6.197
Ru 2.880 0.960 6.197
C 0.960 0.960 11.040
C 2.880 2.880 1.353
```

Density functional theory data (PBE-GGA) for a relaxed BaTlVSb2 crystal.

Magnetic moment: 0.023 μB per atom
VASP energy: -15.68 eV/cell
Raw formation energy: 1.195 eV/atom

The structure in extended XYZ format:
```
5
Lattice="5.732 0.000 0.000 0.000 5.732 0.000 0.000 0.000 6.160" Properties=species:S:1:pos:R:3 pbc="T T T"
Ba 0.000 0.000 0.000
Tl 0.000 0.000 3.080
V 2.866 2.866 0.000
Sb 0.000 2.866 3.080
Sb 2.866 0.000 3.080
```

Question: Number 2 is which compound?
Answer: Sm2BRuC

Question: Number 2 is which compound?
Answer: Sm2BRuC

Question: Number 2 is which compound?
Answer: Sm2BRuC

Question: Which value of VASP energy does entry 1 give?
Answer: -174.72 eV/cell